[1]
# Tb5Os2Au | Alexandria | PBE | relaxed
data_Tb5Os2Au
_cell_length_a 8.5894
_cell_length_b 8.5894
_cell_length_c 8.5894
_cell_angle_alpha 126.45
_cell_angle_beta 126.45
_cell_angle_gamma 79.15
_space_group_name_H-M_alt 'P 1'
_space_group_IT_number 1
_space_group_name_Hall 'P 1'
loop_
_atom_site_label
_atom_site_type_symbol
_atom_site_fract_x
_atom_site_fract_y
_atom_site_fract_z
Tb1 Tb 0.0000 0.0000 0.0000
Tb2 Tb 0.0248 0.5248 0.8203
Tb3 Tb 0.2045 0.0248 0.5000
Tb4 Tb 0.2955 0.7955 0.8203
Tb5 Tb 0.4752 0.2955 0.5000
Tb6 Tb 0.5000 0.5000 0.0000
Tb7 Tb 0.5248 0.7045 0.5000
Tb8 Tb 0.7045 0.2045 0.1797
Tb9 Tb 0.7955 0.9752 0.5000
Tb10 Tb 0.9752 0.4752 0.1797
Os1 Os 0.1393 0.3607 0.5000
Os2 Os 0.3607 0.8607 0.2213
Os3 Os 0.6393 0.1393 0.7787
Os4 Os 0.8607 0.6393 0.5000
Au1 Au 0.2500 0.2500 0.0000
Au2 Au 0.7500 0.7500 0.0000
# final energy = -0.240 Ha/atom
# energy relative to the elements = -411 meV per atom
# space group = No. 140
# theoretical density = 11492 kg/m3

=====

[2]
# TlHgPb2 | Alexandria | PBE | relaxed
data_TlHgPb2
_cell_length_a 5.2065
_cell_length_b 4.4192
_cell_length_c 10.5500
_cell_angle_alpha 90.00
_cell_angle_beta 90.00
_cell_angle_gamma 90.00
_space_group_name_H-M_alt 'P 1'
_space_group_IT_number 1
_space_group_name_Hall 'P 1'
loop_
_atom_site_label
_atom_site_type_symbol
_atom_site_fract_x
_atom_site_fract_y
_atom_site_fract_z
Tl1 Tl 0.2500 0.0000 0.1207
Tl2 Tl 0.7500 0.0000 0.8793
Hg1 Hg 0.2500 0.5000 0.8737
Hg2 Hg 0.7500 0.5000 0.1263
Pb1 Pb 0.2500 0.0000 0.6302
Pb2 Pb 0.2500 0.5000 0.3825
Pb3 Pb 0.7500 0.0000 0.3698
Pb4 Pb 0.7500 0.5000 0.6175
# final energy = -0.093 Ha/atom
# energy relative to the elements = -5 meV per atom
# space group = No. 51
# theoretical density = 11210 kg/m3

=====

[3]
# Pm2Cu4Ge3Pd | Alexandria | PBE | relaxed
data_Pm2Cu4Ge3Pd
_cell_length_a 4.1957
_cell_length_b 4.1957
_cell_length_c 10.0267
_cell_angle_alpha 90.00
_cell_angle_beta 90.00
_cell_angle_gamma 90.00
_space_group_name_H-M_alt 'P 1'
_space_group_IT_number 1
_space_group_name_Hall 'P 1'
loop_
_atom_site_label
_atom_site_type_symbol
_atom_site_fract_x
_atom_site_fract_y
_atom_site_fract_z
Pm1 Pm 0.0000 0.5000 0.2468
Pm2 Pm 0.5000 0.0000 0.7532
Cu1 Cu 0.0000 0.0000 0.0000
Cu2 Cu 0.0000 0.5000 0.6352
Cu3 Cu 0.5000 0.0000 0.3648
Cu4 Cu 0.5000 0.5000 0.0000
Ge1 Ge 0.0000 0.5000 0.8700
Ge2 Ge 0.5000 0.0000 0.1300
Ge3 Ge 0.5000 0.5000 0.5000
Pd1 Pd 0.0000 0.0000 0.5000
# final energy = -0.183 Ha/atom
# energy relative to the elements = -499 meV per atom
# space group = No. 115
# theoretical density = 8171 kg/m3

=====

[4]
# TiTlI2Cl | Alexandria | PBE | relaxed
data_TiTlI2Cl
_cell_length_a 5.8752
_cell_length_b 5.8752
_cell_length_c 4.8130
_cell_angle_alpha 90.00
_cell_angle_beta 90.00
_cell_angle_gamma 90.00
_space_group_name_H-M_alt 'P 1'
_space_group_IT_number 1
_space_group_name_Hall 'P 1'
loop_
_atom_site_label
_atom_site_type_symbol
_atom_site_fract_x
_atom_site_fract_y
_atom_site_fract_z
Ti1 Ti 0.0000 0.0000 0.0000
Tl1 Tl 0.5000 0.5000 0.5000
I1 I 0.0000 0.5000 0.0000
I2 I 0.5000 0.0000 0.0000
Cl1 Cl 0.0000 0.0000 0.5000
# final energy = -0.140 Ha/atom
# energy relative to the elements, uncorrected = -764 meV per atom
# space group = No. 123
# theoretical density = 5412 kg/m3

=====

[5]
# NaNb2Sn2 | Alexandria | PBE | relaxed
data_NaNb2Sn2
_cell_length_a 8.5892
_cell_length_b 8.5892
_cell_length_c 3.0342
_cell_angle_alpha 90.00
_cell_angle_beta 90.00
_cell_angle_gamma 90.00
_space_group_name_H-M_alt 'P 1'
_space_group_IT_number 1
_space_group_name_Hall 'P 1'
loop_
_atom_site_label
_atom_site_type_symbol
_atom_site_fract_x
_atom_site_fract_y
_atom_site_fract_z
Na1 Na 0.0000 0.0000 0.0000
Na2 Na 0.5000 0.5000 0.0000
Nb1 Nb 0.1114 0.3886 0.0000
Nb2 Nb 0.3886 0.8886 0.0000
Nb3 Nb 0.6114 0.1114 0.0000
Nb4 Nb 0.8886 0.6114 0.0000
Sn1 Sn 0.1803 0.6803 0.5000
Sn2 Sn 0.3197 0.1803 0.5000
Sn3 Sn 0.6803 0.8197 0.5000
Sn4 Sn 0.8197 0.3197 0.5000
# final energy = -0.216 Ha/atom
# energy relative to the elements = 26 meV per atom
# space group = No. 127
# theoretical density = 6620 kg/m3

=====

[6]
# LaSn6 | Alexandria | PBE | relaxed
data_LaSn6
_cell_length_a 6.9927
_cell_length_b 6.9927
_cell_length_c 6.9927
_cell_angle_alpha 109.47
_cell_angle_beta 109.47
_cell_angle_gamma 109.47
_space_group_name_H-M_alt 'P 1'
_space_group_IT_number 1
_space_group_name_Hall 'P 1'
loop_
_atom_site_label
_atom_site_type_symbol
_atom_site_fract_x
_atom_site_fract_y
_atom_site_fract_z
La1 La 0.0000 0.0000 0.0000
Sn1 Sn 0.2500 0.5000 0.7500
Sn2 Sn 0.2500 0.7500 0.5000
Sn3 Sn 0.5000 0.2500 0.7500
Sn4 Sn 0.5000 0.7500 0.2500
Sn5 Sn 0.7500 0.2500 0.5000
Sn6 Sn 0.7500 0.5000 0.2500
# final energy = -0.142 Ha/atom
# energy relative to the elements = 266 meV per atom
# space group = No. 229
# theoretical density = 5370 kg/m3

=====

[7]
# SmYHoSc | Alexandria | PBE | relaxed
data_SmYHoSc
_cell_length_a 6.6753
_cell_length_b 6.6753
_cell_length_c 6.6753
_cell_angle_alpha 147.01
_cell_angle_beta 130.30
_cell_angle_gamma 60.95
_space_group_name_H-M_alt 'P 1'
_space_group_IT_number 1
_space_group_name_Hall 'P 1'
loop_
_atom_site_label
_atom_site_type_symbol
_atom_site_fract_x
_atom_site_fract_y
_atom_site_fract_z
Sm1 Sm 0.0000 0.0000 0.0000
Y1 Y 0.7243 0.2243 0.5000
Ho1 Ho 0.4572 0.4572 0.0000
Sc1 Sc 0.2302 0.7302 0.5000
# final energy = -0.199 Ha/atom
# energy relative to the elements = 106 meV per atom
# space group = No. 44
# theoretical density = 6096 kg/m3

=====

[8]
# La2TbScTe4 | Alexandria | PBE | relaxed
data_La2TbScTe4
_cell_length_a 7.6271
_cell_length_b 4.3705
_cell_length_c 7.7802
_cell_angle_alpha 90.00
_cell_angle_beta 108.83
_cell_angle_gamma 90.00
_space_group_name_H-M_alt 'P 1'
_space_group_IT_number 1
_space_group_name_Hall 'P 1'
loop_
_atom_site_label
_atom_site_type_symbol
_atom_site_fract_x
_atom_site_fract_y
_atom_site_fract_z
La1 La 0.0000 0.0000 0.0000
La2 La 0.5000 0.5000 0.0000
Tb1 Tb 0.0000 0.5000 0.5000
Sc1 Sc 0.5000 0.0000 0.5000
Te1 Te 0.2506 0.0000 0.7295
Te2 Te 0.2662 0.5000 0.2757
Te3 Te 0.7338 0.5000 0.7243
Te4 Te 0.7494 0.0000 0.2705
# final energy = -0.205 Ha/atom
# energy relative to the elements, uncorrected = -1392 meV per atom
# space group = No. 10
# theoretical density = 6711 kg/m3

=====

[9]
# Tl4AgCl | Alexandria | PBE | relaxed
data_Tl4AgCl
_cell_length_a 6.4250
_cell_length_b 6.4250
_cell_length_c 6.4250
_cell_angle_alpha 60.00
_cell_angle_beta 60.00
_cell_angle_gamma 60.00
_space_group_name_H-M_alt 'P 1'
_space_group_IT_number 1
_space_group_name_Hall 'P 1'
loop_
_atom_site_label
_atom_site_type_symbol
_atom_site_fract_x
_atom_site_fract_y
_atom_site_fract_z
Tl1 Tl 0.1249 0.1249 0.1249
Tl2 Tl 0.1249 0.1249 0.6254
Tl3 Tl 0.1249 0.6254 0.1249
Tl4 Tl 0.6254 0.1249 0.1249
Ag1 Ag 0.7500 0.7500 0.7500
Cl1 Cl 0.5000 0.5000 0.5000
# final energy = -0.084 Ha/atom
# energy relative to the elements, uncorrected = 66 meV per atom
# space group = No. 216
# theoretical density = 8508 kg/m3

=====

[10]
# NdTcNiGe2 | Alexandria | PBE | relaxed
data_NdTcNiGe2
_cell_length_a 6.0182
_cell_length_b 6.0182
_cell_length_c 6.0182
_cell_angle_alpha 139.64
_cell_angle_beta 139.64
_cell_angle_gamma 58.41
_space_group_name_H-M_alt 'P 1'
_space_group_IT_number 1
_space_group_name_Hall 'P 1'
loop_
_atom_site_label
_atom_site_type_symbol
_atom_site_fract_x
_atom_site_fract_y
_atom_site_fract_z
Nd1 Nd 0.0000 0.0000 0.0000
Tc1 Tc 0.7500 0.2500 0.5000
Ni1 Ni 0.2500 0.7500 0.5000
Ge1 Ge 0.3724 0.3724 0.0000
Ge2 Ge 0.6276 0.6276 0.0000
# final energy = -0.242 Ha/atom
# energy relative to the elements = -546 meV per atom
# space group = No. 119
# theoretical density = 8179 kg/m3

=====

[11]
# AcYSiHg | Alexandria | PBE | relaxed
data_AcYSiHg
_cell_length_a 5.3710
_cell_length_b 5.3710
_cell_length_c 5.3710
_cell_angle_alpha 60.00
_cell_angle_beta 60.00
_cell_angle_gamma 60.00
_space_group_name_H-M_alt 'P 1'
_space_group_IT_number 1
_space_group_name_Hall 'P 1'
loop_
_atom_site_label
_atom_site_type_symbol
_atom_site_fract_x
_atom_site_fract_y
_atom_site_fract_z
Ac1 Ac 0.0000 0.0000 0.0000
Y1 Y 0.5000 0.5000 0.5000
Si1 Si 0.7500 0.7500 0.7500
Hg1 Hg 0.2500 0.2500 0.2500
# final energy = -0.164 Ha/atom
# energy relative to the elements, uncorrected = -395 meV per atom
# space group = No. 216
# theoretical density = 8254 kg/m3

=====

[12]
# TbGe2Se6 | Alexandria | PBE | relaxed
data_TbGe2Se6
_cell_length_a 8.7308
_cell_length_b 8.7308
_cell_length_c 6.6529
_cell_angle_alpha 96.63
_cell_angle_beta 96.63
_cell_angle_gamma 88.18
_space_group_name_H-M_alt 'P 1'
_space_group_IT_number 1
_space_group_name_Hall 'P 1'
loop_
_atom_site_label
_atom_site_type_symbol
_atom_site_fract_x
_atom_site_fract_y
_atom_site_fract_z
Tb1 Tb 0.1150 0.8850 0.7500
Tb2 Tb 0.8850 0.1150 0.2500
Ge1 Ge 0.2311 0.3813 0.7042
Ge2 Ge 0.3813 0.2311 0.2042
Ge3 Ge 0.6187 0.7689 0.7958
Ge4 Ge 0.7689 0.6187 0.2958
Se1 Se 0.0241 0.1999 0.6645
Se2 Se 0.1467 0.5966 0.9187
Se3 Se 0.1999 0.0241 0.1645
Se4 Se 0.2760 0.4631 0.3814
Se5 Se 0.4034 0.8533 0.5813
Se6 Se 0.4631 0.2760 0.8814
Se7 Se 0.5369 0.7240 0.1186
Se8 Se 0.5966 0.1467 0.4187
Se9 Se 0.7240 0.5369 0.6186
Se10 Se 0.8001 0.9759 0.8355
Se11 Se 0.8533 0.4034 0.0813
Se12 Se 0.9759 0.8001 0.3355
# final energy = -0.162 Ha/atom
# energy relative to the elements, uncorrected = -554 meV per atom
# space group = No. 15
# theoretical density = 5165 kg/m3